DFT (GGA-PBE) results for a geometry-optimized CuReAg2 structure.

Calculated values
Volume   16.020 A^3/atom
Energy of formation from the pure elements   0.912 eV per atom
E   -4.649 eV/atom
Distance to the lowest polymorph of the same formula   552.2 meV per atom
Space-group type   Fm-3m

```
CuReAg2
1.0
-3.165 0.105 3.185
-4.338 -0.260 -1.135
-2.352 -3.706 0.952
Ag Re Cu
2 1 1
Direct
0.250 0.250 0.250 Ag
0.750 0.750 0.750 Ag
0.500 0.500 0.500 Re
0.000 0.000 0.000 Cu
```

---

DFT (GGA-PBE) results for a geometry-optimized CuReAg2 structure.

Calculated values
Volume   15.791 A^3/atom
Energy of formation from the pure elements   0.836 eV per atom
E   -4.725 eV/atom
Distance to the lowest polymorph of the same formula   476.3 meV per atom
Space-group type   I4/mmm

```
CuReAg2
1.0
-3.531 -2.873 1.887
-0.671 -4.028 -2.758
4.011 2.096 1.949
Ag Cu Re
2 1 1
Direct
0.000 0.000 0.000 Ag
0.500 0.500 0.000 Ag
0.250 0.750 0.500 Cu
0.750 0.250 0.500 Re
```

---

DFT (GGA-PBE) results for a geometry-optimized CuReAg2 structure.

Calculated values
Volume   16.028 A^3/atom
Energy of formation from the pure elements   0.617 eV per atom
E   -4.945 eV/atom
Distance to the lowest polymorph of the same formula   256.8 meV per atom
Space-group type   Imm2

```
CuReAg2
1.0
-2.300 2.968 -4.180
2.123 -0.302 -5.193
-2.547 -2.245 4.477
Re Cu Ag
1 1 2
Direct
0.267 0.767 0.500 Re
0.494 0.494 0.000 Cu
0.004 0.004 0.000 Ag
0.735 0.235 0.500 Ag
```